1.
Density functional theory data (PBE-GGA) for a relaxed Sm4MgCd2 crystal.

Cell: 7.483 6.524 9.149 Å, 90.00 111.28 90.00°
Fractional positions:
Mg: 0.794 0.250 0.904
Mg: 0.206 0.750 0.096
Sm: 0.882 0.750 0.731
Sm: 0.394 0.983 0.772
Sm: 0.035 0.750 0.417
Sm: 0.118 0.250 0.269
Sm: 0.965 0.250 0.583
Sm: 0.394 0.517 0.772
Sm: 0.606 0.483 0.228
Sm: 0.606 0.017 0.228
Cd: 0.209 0.250 0.965
Cd: 0.469 0.750 0.463
Cd: 0.531 0.250 0.537
Cd: 0.791 0.750 0.035

DOS at the Fermi energy, states/eV per atom: 1.109
Offset from the most stable computed form, eV per atom: 0.041
Magnetic moment, μB/f.u.: 0.00

***

2.
Density functional theory data (PBE-GGA) for a relaxed Sm4Mg3Cd crystal.

Cell: 3.845 3.845 15.312 Å, 90.00 90.00 90.00°
Fractional positions:
Sm: 0.000 0.000 0.373
Sm: 0.000 0.000 0.876
Sm: 0.000 0.000 0.124
Sm: 0.000 0.000 0.627
Mg: 0.500 0.500 0.750
Mg: 0.500 0.500 0.500
Mg: 0.500 0.500 0.250
Cd: 0.500 0.500 0.000

DOS at the Fermi energy, states/eV per atom: 1.328
Offset from the most stable computed form, eV per atom: 0.000
Magnetic moment, μB/f.u.: 0.00

***

3.
Density functional theory data (PBE-GGA) for a relaxed SmMg2Cd3 crystal.

Cell: 6.214 6.989 6.989 Å, 102.15 90.00 90.00°
Fractional positions:
Mg: 0.000 0.774 0.226
Mg: 0.500 0.226 0.774
Mg: 0.500 0.774 0.226
Mg: 0.000 0.226 0.774
Cd: 0.250 0.853 0.575
Cd: 0.250 0.999 0.999
Cd: 0.750 0.425 0.147
Cd: 0.750 0.001 0.001
Cd: 0.750 0.147 0.425
Cd: 0.250 0.575 0.853
Sm: 0.750 0.638 0.638
Sm: 0.250 0.362 0.362

DOS at the Fermi energy, states/eV per atom: 0.542
Offset from the most stable computed form, eV per atom: 0.083
Magnetic moment, μB/f.u.: 0.00

***

Sequential ΔE_f output: -0.043; -0.153; -0.138 eV per atom